## RbThN2 (PBE-GGA)

Data for a relaxed RbThN2 crystal.

Cell: 7.195 7.195 7.195 Å, 30.17 30.17 30.17°
Positions (direct):
Rb 0.000 0.000 0.000
Th 0.500 0.500 0.500
N 0.221 0.221 0.221
N 0.779 0.779 0.779

Properties
energy = -27.674 eV per cell
total magnetic moment = 0.26 μB per atom
DOS(E_F) = 3.05 states/eV per cell
V = 20.8 Å³/atom
uncorrected formation energy = -0.6590 eV per atom

=====

## RbTh2N (PBE-GGA)

Data for a relaxed RbTh2N crystal.

Cell: 10.952 10.952 10.952 Å, 19.47 19.47 19.47°
Positions (direct):
Rb 0.000 0.000 0.000
Th 0.124 0.124 0.124
Th 0.876 0.876 0.876
N 0.500 0.500 0.500

Properties
energy = -25.420 eV per cell
total magnetic moment = 0.28 μB per atom
DOS(E_F) = 5.59 states/eV per cell
V = 31.9 Å³/atom
uncorrected formation energy = -0.3219 eV per atom

=====

## RbTi2N (PBE-GGA)

Data for a relaxed RbTi2N crystal.

Cell: 6.560 6.560 6.560 Å, 60.00 60.00 60.00°
Positions (direct):
Rb 0.125 0.125 0.125
Rb 0.875 0.875 0.875
Ti 0.000 0.500 0.500
Ti 0.500 0.000 0.500
Ti 0.500 0.500 0.000
Ti 0.500 0.500 0.500
N 0.375 0.375 0.375
N 0.625 0.625 0.625

Properties
energy = -50.205 eV per cell
total magnetic moment = 0.95 μB per atom
DOS(E_F) = 7.39 states/eV per cell
V = 24.9 Å³/atom
uncorrected formation energy = -0.0049 eV per atom

=====

## RbTiN3 (PBE-GGA)

Data for a relaxed RbTiN3 crystal.

Cell: 4.107 4.107 4.107 Å, 90.00 90.00 90.00°
Positions (direct):
Rb 0.000 0.000 0.000
Ti 0.500 0.500 0.500
N 0.000 0.000 0.500
N 0.000 0.500 0.000
N 0.500 0.000 0.000

Properties
energy = -19.056 eV per cell
total magnetic moment = 0.00 μB per atom
DOS(E_F) = 3.88 states/eV per cell
V = 13.9 Å³/atom
uncorrected formation energy = 2.9566 eV per atom

=====

## Rb2Ti2N (PBE-GGA)

Data for a relaxed Rb2Ti2N crystal.

Cell: 5.802 5.802 6.830 Å, 90.00 90.00 90.00°
Positions (direct):
Rb 0.243 0.257 0.000
Rb 0.257 0.757 0.000
Rb 0.743 0.243 0.000
Rb 0.757 0.743 0.000
Ti 0.179 0.321 0.500
Ti 0.321 0.821 0.500
Ti 0.679 0.179 0.500
Ti 0.821 0.679 0.500
N 0.000 0.000 0.500
N 0.500 0.500 0.500

Properties
offset from the most stable computed form = 0 meV/atom
energy = -47.685 eV per cell
total magnetic moment = 0.00 μB per atom
DOS(E_F) = 9.56 states/eV per cell
V = 23.0 Å³/atom
uncorrected formation energy = 0.4416 eV per atom

=====

## Rb2TiN (PBE-GGA)

Data for a relaxed Rb2TiN crystal.

Cell: 9.265 9.265 9.265 Å, 92.57 92.57 155.57°
Positions (direct):
Rb 0.375 0.074 0.199
Rb 0.824 0.625 0.699
Rb 0.875 0.176 0.801
Rb 0.926 0.125 0.301
Ti 0.250 0.750 0.500
Ti 0.500 0.500 0.000
N 0.000 0.000 0.000
N 0.750 0.250 0.500

Properties
energy = -35.144 eV per cell
total magnetic moment = 0.25 μB per atom
DOS(E_F) = 1.93 states/eV per cell
V = 40.2 Å³/atom
uncorrected formation energy = 0.1458 eV per atom

=====

## Rb2Ti2N (PBE-GGA)

Data for a relaxed Rb2Ti2N crystal.

Cell: 8.670 8.670 8.670 Å, 153.52 153.52 37.79°
Positions (direct):
Rb 0.250 0.750 0.500
Rb 0.750 0.250 0.500
Ti 0.059 0.059 0.000
Ti 0.941 0.941 0.000
N 0.500 0.500 0.000

Properties
offset from the most stable computed form = 1507 meV/atom
energy = -16.309 eV per cell
total magnetic moment = 0.00 μB per atom
DOS(E_F) = 3.35 states/eV per cell
V = 25.9 Å³/atom
uncorrected formation energy = 1.9483 eV per atom

=====

## RbTiN3 (PBE-GGA)

Data for a relaxed RbTiN3 crystal.

Cell: 4.122 4.122 4.122 Å, 90.00 90.00 90.00°
Positions (direct):
Rb 0.000 0.000 0.000
Ti 0.500 0.500 0.500
N 0.000 0.500 0.500
N 0.500 0.000 0.500
N 0.500 0.500 0.000

Properties
energy = -31.535 eV per cell
total magnetic moment = 0.65 μB per atom
DOS(E_F) = 2.74 states/eV per cell
V = 14.0 Å³/atom
uncorrected formation energy = 0.4607 eV per atom

=====

## Rb2TiWN (PBE-GGA)

Data for a relaxed Rb2TiWN crystal.

Cell: 7.052 7.052 3.763 Å, 90.00 90.00 90.00°
Positions (direct):
Rb 0.000 0.500 0.000
Rb 0.500 0.000 0.000
Ti 0.000 0.000 0.000
W 0.500 0.500 0.500
N 0.000 0.000 0.500

Properties
energy = -23.610 eV per cell
total magnetic moment = 1.00 μB per atom
DOS(E_F) = 8.23 states/eV per cell
V = 37.4 Å³/atom
uncorrected formation energy = 1.4997 eV per atom

=====

## Rb2TlN (PBE-GGA)

Data for a relaxed Rb2TlN crystal.

Cell: 8.965 8.965 8.965 Å, 93.99 93.99 149.40°
Positions (direct):
Rb 0.375 0.173 0.298
Rb 0.827 0.125 0.202
Rb 0.875 0.077 0.702
Rb 0.923 0.625 0.798
Tl 0.250 0.750 0.500
Tl 0.500 0.500 0.000
N 0.000 0.000 0.000
N 0.750 0.250 0.500

Properties
offset from the most stable computed form = 0 meV/atom
energy = -21.289 eV per cell
total magnetic moment = 0.02 μB per atom
DOS(E_F) = 4.91 states/eV per cell
V = 44.2 Å³/atom
uncorrected formation energy = 0.4956 eV per atom

=====

## Rb2TlN (PBE-GGA)

Data for a relaxed Rb2TlN crystal.

Cell: 5.675 5.675 5.675 Å, 60.00 60.00 60.00°
Positions (direct):
Rb 0.250 0.250 0.250
Rb 0.750 0.750 0.750
Tl 0.000 0.000 0.000
N 0.500 0.500 0.500

Properties
offset from the most stable computed form = 430 meV/atom
energy = -8.925 eV per cell
total magnetic moment = 0.00 μB per atom
DOS(E_F) = 0.60 states/eV per cell
V = 32.3 Å³/atom
uncorrected formation energy = 0.9255 eV per atom

=====

## RbTl3N (PBE-GGA)

Data for a relaxed RbTl3N crystal.

Cell: 6.458 6.458 6.458 Å, 90.00 90.00 90.00°
Positions (direct):
Rb 0.000 0.000 0.000
Tl 0.000 0.000 0.500
Tl 0.000 0.500 0.000
Tl 0.500 0.000 0.000
N 0.500 0.500 0.500

Properties
offset from the most stable computed form = 1273 meV/atom
energy = -6.942 eV per cell
total magnetic moment = 0.00 μB per atom
DOS(E_F) = 7.78 states/eV per cell
V = 53.9 Å³/atom
uncorrected formation energy = 1.8900 eV per atom

=====

## RbTlN2 (PBE-GGA)

Data for a relaxed RbTlN2 crystal.

Cell: 7.765 7.765 7.765 Å, 27.42 27.42 27.42°
Positions (direct):
Rb 0.000 0.000 0.000
Tl 0.500 0.500 0.500
N 0.119 0.119 0.119
N 0.881 0.881 0.881

Properties
offset from the most stable computed form = 1436 meV/atom
energy = -14.457 eV per cell
total magnetic moment = 0.50 μB per atom
DOS(E_F) = 0.22 states/eV per cell
V = 21.9 Å³/atom
uncorrected formation energy = 1.3820 eV per atom

=====

## RbTlN2 (PBE-GGA)

Data for a relaxed RbTlN2 crystal.

Cell: 4.961 4.961 4.961 Å, 60.00 60.00 60.00°
Positions (direct):
Rb 0.000 0.000 0.000
Tl 0.500 0.500 0.500
N 0.250 0.250 0.250
N 0.750 0.750 0.750

Properties
offset from the most stable computed form = 1671 meV/atom
energy = -13.518 eV per cell
total magnetic moment = 1.00 μB per atom
DOS(E_F) = 1.95 states/eV per cell
V = 21.6 Å³/atom
uncorrected formation energy = 1.6165 eV per atom